First-principles (PBE-GGA) data for a relaxed structure of TbCeTm2, as listed in Alexandria via LeMat-Bulk.

```
4
Lattice="3.5077 0.0000 0.0000 0.0000 3.5077 0.0000 0.0000 0.0000 9.8759" Properties=species:S:1:pos:R:3 pbc="T T T"
Tb 0.0000 0.0000 0.0000
Ce 0.0000 0.0000 4.9380
Tm 1.7538 1.7538 2.5132
Tm 1.7538 1.7538 7.3627
```

Output
raw total energy: -19.3 eV per cell
SG: P4/mmm, No. 123

First-principles (PBE-GGA) data for a relaxed structure of TbCeTm2, as listed in Alexandria via LeMat-Bulk.

```
12
Lattice="3.5181 0.0000 0.0000 -1.7590 3.0467 0.0000 0.0000 0.0000 33.9121" Properties=species:S:1:pos:R:3 pbc="T T T"
Tb 0.0000 0.0000 0.0000
Tb 0.0000 2.0311 22.6081
Tb 1.7590 1.0156 11.3040
Ce 0.0000 0.0000 28.2987
Ce 0.0000 2.0311 16.9946
Ce 1.7590 1.0156 5.6906
Tm 0.0000 0.0000 8.4662
Tm 0.0000 0.0000 14.1883
Tm 0.0000 2.0311 2.8842
Tm 0.0000 2.0311 31.0742
Tm 1.7590 1.0156 19.7702
Tm 1.7590 1.0156 25.4923
```

Output
raw total energy: -58.0 eV per cell
SG: R3m, No. 160

First-principles (PBE-GGA) data for a relaxed structure of Tb3CeTm2, as listed in Alexandria via LeMat-Bulk.

```
12
Lattice="4.4446 -4.8080 0.0000 4.4446 4.8080 0.0000 -1.9174 0.0000 8.7035" Properties=species:S:1:pos:R:3 pbc="T T T"
Tb 3.0066 3.9538 6.5276
Tb 0.3658 0.7884 8.6929
Tb 1.3245 -0.7884 4.3412
Tb 5.6474 0.7884 4.3623
Tb 6.6061 -0.7884 0.0106
Tb 3.9653 -3.9538 2.1759
Ce 3.0066 0.7594 6.5276
Ce 3.9653 -0.7594 2.1759
Tm 2.6232 2.4537 3.2599
Tm 5.3073 2.4537 1.0918
Tm 1.6646 -2.4537 7.6117
Tm 4.3487 -2.4537 5.4436
```

Output
raw total energy: -56.4 eV per cell
SG: C2/c, No. 15

First-principles (PBE-GGA) data for a relaxed structure of Tb6CeTm4, as listed in Alexandria via LeMat-Bulk.

```
22
Lattice="2.8399 -4.7783 0.0000 2.8399 4.7783 0.0000 0.0000 0.0000 25.6132" Properties=species:S:1:pos:R:3 pbc="T T T"
Tb 0.0000 0.0000 0.0000
Tb 0.0000 0.0000 12.8066
Tb 2.8399 4.5162 19.2099
Tb 2.8399 1.8344 2.5839
Tb 2.8399 1.8344 10.2227
Tb 2.8399 1.3131 17.4294
Tb 2.8399 1.3131 20.9903
Tb 2.8399 -1.3131 4.6228
Tb 2.8399 -1.3131 8.1838
Tb 2.8399 -1.8344 15.3905
Tb 2.8399 -1.8344 23.0293
Tb 2.8399 -4.5162 6.4033
Ce 2.8399 1.8447 6.4033
Ce 2.8399 -1.8447 19.2099
Tm 2.8399 4.4753 15.9422
Tm 2.8399 4.4753 22.4775
Tm 2.8399 1.4939 13.8818
Tm 2.8399 1.4939 24.5379
Tm 2.8399 -1.4939 1.0753
Tm 2.8399 -1.4939 11.7313
Tm 2.8399 -4.4753 3.1356
Tm 2.8399 -4.4753 9.6709
```

Output
raw total energy: -100.0 eV per cell
SG: Cmcm, No. 63

First-principles (PBE-GGA) data for a relaxed structure of Tb11Ce4Tm9, as listed in Alexandria via LeMat-Bulk.

```
24
Lattice="8.3117 -12.4230 0.0000 8.3117 12.4230 0.0000 0.0000 0.0000 3.6246" Properties=species:S:1:pos:R:3 pbc="T T T"
Tb 0.0000 0.0000 0.0000
Tb 3.7948 4.4804 0.0000
Tb 8.3117 8.5073 0.0000
Tb 4.8251 0.0000 0.0000
Tb 8.3117 3.3695 0.0000
Tb 3.7948 -4.4804 0.0000
Tb 12.8285 4.4804 0.0000
Tb 8.3117 -3.3695 0.0000
Tb 11.7982 0.0000 0.0000
Tb 8.3117 -8.5073 0.0000
Tb 12.8285 -4.4804 0.0000
Ce 5.7799 2.4788 1.8123
Ce 5.7799 -2.4788 1.8123
Ce 10.8434 2.4788 1.8123
Ce 10.8434 -2.4788 1.8123
Tm 2.3447 1.7941 1.8123
Tm 6.6245 5.8784 1.8123
Tm 2.3447 -1.7941 1.8123
Tm 9.9989 5.8784 1.8123
Tm 8.3117 0.0000 1.8123
Tm 6.6245 -5.8784 1.8123
Tm 14.2787 1.7941 1.8123
Tm 9.9989 -5.8784 1.8123
Tm 14.2787 -1.7941 1.8123
```

Output
raw total energy: -112.6 eV per cell
SG: Cmmm, No. 65

First-principles (PBE-GGA) data for a relaxed structure of Tb12Ce2Tm5, as listed in Alexandria via LeMat-Bulk.

```
19
Lattice="7.7040 -4.5776 0.0000 7.7040 4.5776 0.0000 -0.3484 0.0000 8.5716" Properties=species:S:1:pos:R:3 pbc="T T T"
Tb 0.8179 0.0000 2.9435
Tb 5.5607 2.8116 2.6924
Tb 5.1826 1.6409 6.5438
Tb 9.4989 2.8116 5.8792
Tb 6.5883 0.0000 1.0846
Tb 9.8770 1.6409 2.0278
Tb 5.1826 -1.6409 6.5438
Tb 8.4712 0.0000 7.4870
Tb 5.5607 -2.8116 2.6924
Tb 9.8770 -1.6409 2.0278
Tb 9.4989 -2.8116 5.8792
Tb 14.2417 0.0000 5.6281
Ce 7.7040 3.2175 0.0000
Ce 7.7040 -3.2175 0.0000
Tm 3.2576 0.0000 0.3403
Tm 4.0019 0.0000 3.7241
Tm 7.5298 0.0000 4.2858
Tm 11.0577 0.0000 4.8475
Tm 11.8020 0.0000 8.2313
```

Output
raw total energy: -87.1 eV per cell
SG: C2/m, No. 12

| no. | DOS(E_F) (states/eV/atom) |
| --- | --- |
| 1 | 2.002 |
| 2 | 2.015 |
| 3 | 2.279 |
| 4 | 2.032 |
| 5 | 1.887 |
| 6 | 1.617 |